(1)
Density functional theory data (PBE-GGA) for crystalline Er5ZrTl3 at its relaxed geometry.

Unit cell a=9.2119 b=9.2119 c=6.5830 alpha=90.00 beta=90.00 gamma=120.00
Last column: nearest neighbours and their distance in Å.
Space group P6_3/mcm (No. 193)
Inequivalent atoms, fractional coordinates:
Er (0.0000, 0.3126, 0.2500)  5 Tl 3.06-3.31, 2 Zr 3.32
Er (0.3333, 0.6667, 0.0000)  8 Er 3.29-3.57, 6 Tl 3.43
Zr (0.0000, 0.0000, 0.0000)  2 Zr 3.29, 6 Er 3.32, 6 Tl 3.61
Tl (0.0000, 0.3482, 0.7500)  5 Er 3.06-3.31

## Properties
- crystal system = hexagonal
- ΔH_f (0 K) (eV/atom) = -0.207



(2)
Density functional theory data (PBE-GGA) for crystalline Si2PN at its relaxed geometry.

Unit cell a=5.7242 b=5.7242 c=5.7242 alpha=90.00 beta=90.00 gamma=90.00
Last column: nearest neighbours and their distance in Å.
Space group Fm-3m (No. 225)
Inequivalent atoms, fractional coordinates:
Si (0.2500, 0.2500, 0.2500)  4 P 2.48, 4 N 2.48
P (0.0000, 0.0000, 0.0000)  8 Si 2.48
N (0.0000, 0.0000, 0.5000)  8 Si 2.48

## Properties
- ΔE_f (raw) (meV/atom) = 1036
- E above lowest polymorph (meV/atom) = 941
- crystal system = cubic



(3)
Density functional theory data (PBE-GGA) for crystalline KAuBr2 at its relaxed geometry.

Unit cell a=4.3109 b=8.0950 c=8.1234 alpha=90.00 beta=90.00 gamma=90.00
Last column: nearest neighbours and their distance in Å.
Space group Cmmm (No. 65)
Inequivalent atoms, fractional coordinates:
K (0.0000, 0.0000, 0.0000)  4 Br 3.14
Au (0.0000, 0.0000, 0.5000)  4 Br 2.79
Br (0.0000, 0.5000, 0.2818)  2 Au 2.79

## Properties
- ΔE_f (raw) (meV/atom) = -650
- E above lowest polymorph (meV/atom) = 280
- crystal system = orthorhombic



(4)
Density functional theory data (PBE-GGA) for crystalline Li2GePt2 at its relaxed geometry.

Unit cell a=7.5334 b=4.2830 c=5.2899 alpha=90.00 beta=90.50 gamma=90.00
Last column: nearest neighbours and their distance in Å.
Space group C2/m (No. 12)
Inequivalent atoms, fractional coordinates:
Li (0.1636, 0.0000, 0.1203)  5 Pt 2.63-2.86, 3 Li 2.76-2.82
Ge (0.0000, 0.5000, 0.5000)  6 Pt 2.56-2.59
Pt (0.1670, 0.0000, 0.6177)  3 Ge 2.56-2.59, 5 Li 2.63-2.86, 3 Pt 2.78-2.80

## Properties
- E above lowest polymorph (meV/atom) = 0
- crystal system = monoclinic
- ΔH_f (0 K) (eV/atom) = -0.470



(5)
Density functional theory data (PBE-GGA) for crystalline AsOs2Rh at its relaxed geometry.

Unit cell a=5.7421 b=7.1486 c=2.8349 alpha=90.00 beta=90.00 gamma=90.00
Last column: nearest neighbours and their distance in Å.
Space group Cmmm (No. 65)
Inequivalent atoms, fractional coordinates:
As (0.0000, 0.0000, 0.0000)  8 Os 2.70, 2 As 2.83, 2 Rh 2.87
Os (0.2500, 0.2500, 0.5000)  4 As 2.70, 4 Rh 2.70, 4 Os 2.83-2.87
Rh (0.0000, 0.5000, 0.0000)  8 Os 2.70, 2 Rh 2.83, 2 As 2.87

## Properties
- crystal system = orthorhombic
- ΔH_f (0 K) (eV/atom) = 0.442



(6)
Density functional theory data (PBE-GGA) for crystalline YTlCd2 at its relaxed geometry.

Unit cell a=7.3543 b=7.3543 c=7.3543 alpha=90.00 beta=90.00 gamma=90.00
Last column: nearest neighbours and their distance in Å.
Space group F-43m (No. 216)
Inequivalent atoms, fractional coordinates:
Y (0.0000, 0.0000, 0.0000)  4 Cd 3.18, 4 Tl 3.18
Tl (0.2500, 0.2500, 0.2500)  4 Cd 3.18, 4 Y 3.18
Cd (0.0000, 0.0000, 0.5000)  4 Cd 3.18, 4 Tl 3.18
Cd (0.2500, 0.2500, 0.7500)  4 Y 3.18, 4 Cd 3.18

## Properties
- E above lowest polymorph (meV/atom) = 63
- crystal system = cubic
- ΔH_f (0 K) (eV/atom) = -0.211



(7)
Density functional theory data (PBE-GGA) for crystalline Mg5CdIn3 at its relaxed geometry.

Unit cell a=8.8867 b=8.8867 c=6.1385 alpha=90.00 beta=90.00 gamma=120.00
Last column: nearest neighbours and their distance in Å.
Space group P6_3/mcm (No. 193)
Inequivalent atoms, fractional coordinates:
Mg (0.0000, 0.2985, 0.2500)  5 In 2.96-3.13, 2 Cd 3.06
Mg (0.3333, 0.6667, 0.0000)  2 Mg 3.07, 6 In 3.21
Cd (0.0000, 0.0000, 0.0000)  6 Mg 3.06, 2 Cd 3.07
In (0.0000, 0.3684, 0.7500)  9 Mg 2.96-3.21

## Properties
- E above lowest polymorph (meV/atom) = 0
- crystal system = hexagonal
- ΔH_f (0 K) (eV/atom) = -0.050



(8)
Density functional theory data (PBE-GGA) for crystalline SbTe2HPd at its relaxed geometry.

Unit cell a=5.4273 b=5.4273 c=5.1457 alpha=90.00 beta=90.00 gamma=90.00
Last column: nearest neighbours and their distance in Å.
Space group P4/mmm (No. 123)
Inequivalent atoms, fractional coordinates:
Sb (0.0000, 0.0000, 0.0000)  2 Pd 2.57
Te (0.0000, 0.5000, 0.5000)  2 Pd 2.71
H (0.5000, 0.5000, 0.0000)  8 Te 3.74, 4 Sb 3.84
Pd (0.0000, 0.0000, 0.5000)  2 Sb 2.57, 4 Te 2.71

## Properties
- E above lowest polymorph (meV/atom) = 260
- crystal system = tetragonal



(9)
Density functional theory data (PBE-GGA) for crystalline TaSn2WBr at its relaxed geometry.

Unit cell a=5.3357 b=5.3357 c=4.6791 alpha=90.00 beta=90.00 gamma=90.00
Last column: nearest neighbours and their distance in Å.
Space group P4/mmm (No. 123)
Inequivalent atoms, fractional coordinates:
Ta (0.0000, 0.0000, 0.0000)  2 Br 2.34
Sn (0.0000, 0.5000, 0.5000)  2 Br 2.67
W (0.5000, 0.5000, 0.0000)  8 Sn 3.55, 4 Ta 3.77
Br (0.0000, 0.0000, 0.5000)  2 Ta 2.34

## Properties
- ΔE_f (raw) (meV/atom) = 2022
- crystal system = tetragonal



(10)
Density functional theory data (PBE-GGA) for crystalline TaTl2Mo at its relaxed geometry.

Unit cell a=2.9770 b=4.5300 c=5.9450 alpha=90.00 beta=90.00 gamma=90.00
Last column: nearest neighbours and their distance in Å.
Space group Pmmm (No. 47)
Inequivalent atoms, fractional coordinates:
Ta (0.0000, 0.0000, 0.0000)  2 Mo 2.97, 2 Ta 2.98, 8 Tl 3.10
Tl (0.5000, 0.5000, 0.2534)  4 Tl 2.93-3.01, 4 Mo 3.08, 4 Ta 3.10
Mo (0.0000, 0.0000, 0.5000)  2 Ta 2.97, 2 Mo 2.98, 8 Tl 3.08

## Properties
- E above lowest polymorph (meV/atom) = 415
- crystal system = orthorhombic
- ΔH_f (0 K) (eV/atom) = 0.832



(11)
Density functional theory data (PBE-GGA) for crystalline CaDyAu4 at its relaxed geometry.

Unit cell a=3.9758 b=3.9758 c=9.2626 alpha=90.00 beta=90.00 gamma=90.00
Last column: nearest neighbours and their distance in Å.
Space group P4/mmm (No. 123)
Inequivalent atoms, fractional coordinates:
Ca (0.0000, 0.0000, 0.0000)  8 Au 3.11
Dy (0.5000, 0.5000, 0.5000)  8 Au 3.00
Au (0.0000, 0.5000, 0.2579)  4 Au 2.81, 2 Dy 3.00, 2 Ca 3.11

## Properties
- E above lowest polymorph (meV/atom) = 233
- crystal system = tetragonal
- ΔH_f (0 K) (eV/atom) = -0.538



(12)
Density functional theory data (PBE-GGA) for crystalline SrTlTe at its relaxed geometry.

Unit cell a=5.3638 b=5.3638 c=4.2593 alpha=90.00 beta=90.00 gamma=120.00
Last column: nearest neighbours and their distance in Å.
Space group P3m1 (No. 156)
Inequivalent atoms, fractional coordinates:
Sr (0.0000, 0.0000, 0.0000)  6 Te 3.61-3.93, 6 Tl 3.64-3.89
Tl (0.3333, 0.6667, 0.5530)  3 Te 3.14
Te (0.6667, 0.3333, 0.4335)  3 Tl 3.14

## Properties
- ΔE_f (raw) (meV/atom) = -671
- E above lowest polymorph (meV/atom) = 86
- crystal system = trigonal



(13)
Density functional theory data (PBE-GGA) for crystalline Li2ZnInP at its relaxed geometry.

Unit cell a=5.4942 b=5.4942 c=4.8161 alpha=90.00 beta=90.00 gamma=90.00
Last column: nearest neighbours and their distance in Å.
Space group P4/mmm (No. 123)
Inequivalent atoms, fractional coordinates:
Li (0.0000, 0.5000, 0.0000)  2 In 2.75
Zn (0.0000, 0.0000, 0.5000)  8 Li 3.65, 4 P 3.88
In (0.5000, 0.5000, 0.0000)  2 P 2.41
P (0.5000, 0.5000, 0.5000)  2 In 2.41

## Properties
- E above lowest polymorph (meV/atom) = 95
- crystal system = tetragonal
- ΔH_f (0 K) (eV/atom) = 0.425



(14)
Density functional theory data (PBE-GGA) for crystalline Si3Hg at its relaxed geometry.

Unit cell a=3.4803 b=4.4062 c=9.5680 alpha=90.00 beta=90.00 gamma=90.00
Last column: nearest neighbours and their distance in Å.
Space group Cmmm (No. 65)
Inequivalent atoms, fractional coordinates:
Si (0.0000, 0.0000, 0.0000)  8 Si 2.58-2.81
Si (0.0000, 0.5000, 0.1990)  6 Si 2.58-2.81
Hg (0.0000, 0.0000, 0.5000)  4 Hg 2.81

## Properties
- ΔE_f (raw) (meV/atom) = 538
- E above lowest polymorph (meV/atom) = 136
- crystal system = orthorhombic



(15)
Density functional theory data (PBE-GGA) for crystalline Ca2RuW at its relaxed geometry.

Unit cell a=2.9938 b=4.9031 c=5.4185 alpha=90.00 beta=91.05 gamma=90.00
Last column: nearest neighbours and their distance in Å.
Space group P2/m (No. 10)
Inequivalent atoms, fractional coordinates:
Ca (0.0095, 0.0000, 0.2559)  2 Ca 2.65-2.77
Ru (0.5000, 0.5000, 0.5000)  2 W 2.71, 2 Ru 2.99
W (0.5000, 0.5000, 0.0000)  2 Ru 2.71, 2 W 2.99

## Properties
- E above lowest polymorph (meV/atom) = 513
- crystal system = monoclinic
- ΔH_f (0 K) (eV/atom) = 0.783



(16)
Density functional theory data (PBE-GGA) for crystalline La6CoHg2N at its relaxed geometry.

Unit cell a=7.3041 b=7.3100 c=7.3130 alpha=61.67 beta=61.56 gamma=61.57
Last column: nearest neighbours and their distance in Å.
Space group P-1 (No. 2)
Inequivalent atoms, fractional coordinates:
La (0.1649, 0.3165, 0.2565)  1 N 2.58, 1 Co 2.77
La (0.2455, 0.8308, 0.1848)  1 N 2.59, 1 Co 2.75
La (0.3151, 0.7602, 0.6670)  1 N 2.58, 1 Co 2.77
Co (0.5000, 0.5000, 0.0000)  6 La 2.75-2.77
Hg (0.2426, 0.2394, 0.7425)  4 La 3.19-3.56
N (0.0000, 0.0000, 0.5000)  6 La 2.58-2.59

## Properties
- ΔE_f (raw) (meV/atom) = -481
- crystal system = triclinic



(17)
Density functional theory data (PBE-GGA) for crystalline Co3Ni3S8 at its relaxed geometry.

Unit cell a=6.6242 b=6.6242 c=16.1794 alpha=90.00 beta=90.00 gamma=120.00
Last column: nearest neighbours and their distance in Å.
Space group R-3m (No. 166, hexagonal axes)
Inequivalent atoms, fractional coordinates:
Co (0.0000, 0.0000, 0.0000)  6 S 2.26
Co (0.0000, 0.0000, 0.3753)  4 S 2.12-2.14
Ni (0.0000, 0.5000, 0.5000)  6 S 2.29
S (0.0000, 0.0000, 0.2442)  1 Co 2.12, 3 Ni 2.29
S (0.0196, 0.5098, 0.7508)  2 Co 2.14-2.26, 2 Ni 2.29

## Properties
- ΔE_f (raw) (meV/atom) = -394
- E above lowest polymorph (meV/atom) = 46
- crystal system = trigonal



(18)
Density functional theory data (PBE-GGA) for crystalline Ni4AgAu2 at its relaxed geometry.

Unit cell a=4.6015 b=4.6015 c=12.5939 alpha=90.00 beta=90.00 gamma=90.00
Last column: nearest neighbours and their distance in Å.
Space group I4/mmm (No. 139)
Inequivalent atoms, fractional coordinates:
Ni (0.0000, 0.0000, 0.1946)  1 Ag 2.45, 1 Au 2.45
Ni (0.0000, 0.5000, 0.0000)  2 Ag 2.30
Ag (0.0000, 0.0000, 0.0000)  6 Ni 2.30-2.45
Au (0.0000, 0.0000, 0.3895)  5 Ni 2.45-2.69

## Properties
- crystal system = tetragonal
- ΔH_f (0 K) (eV/atom) = 1.086



(19)
Density functional theory data (PBE-GGA) for crystalline Tl3Sb3Pb4 at its relaxed geometry.

Unit cell a=11.0339 b=11.0339 c=11.0339 alpha=90.00 beta=90.00 gamma=90.00
Last column: nearest neighbours and their distance in Å.
Space group I-43d (No. 220)
Inequivalent atoms, fractional coordinates:
Tl (0.0000, 0.2500, 0.3750)  4 Sb 3.38, 4 Pb 3.64
Sb (0.0000, 0.2500, 0.8750)  4 Pb 3.17, 4 Tl 3.38
Pb (0.0985, 0.0985, 0.0985)  3 Sb 3.17

## Properties
- ΔE_f (raw) (meV/atom) = 54
- crystal system = cubic



Number 1: E_tot -4.480 eV/atom. Number 2: E_tot -5.109 eV/atom. Number 3: E_tot -2.580 eV/atom. Number 4: E_tot -4.576 eV/atom. Number 5: E_tot -8.173 eV/atom. Number 6: E_tot -2.876 eV/atom. Number 7: E_tot -1.950 eV/atom. Number 8: E_tot -3.049 eV/atom. Number 9: E_tot -4.874 eV/atom. Number 10: E_tot -6.022 eV/atom. Number 11: E_tot -3.823 eV/atom. Number 12: E_tot -3.068 eV/atom. Number 13: E_tot -2.225 eV/atom. Number 14: E_tot -3.604 eV/atom. Number 15: E_tot -5.775 eV/atom. Number 16: E_tot -5.041 eV/atom. Number 17: E_tot -5.514 eV/atom. Number 18: E_tot -3.561 eV/atom. Number 19: E_tot -3.376 eV/atom.